Pr2Ag3Hg2: relaxed, GGA-PBE.

N(E_F) = 0.517 states/eV per atom
magnetic moment = 0.01 μB/atom
raw total energy = -2.854 eV/atom

Lattice parameters (Å, degrees): 4.7551 20.9034 3.4238 90.00 90.00 90.00
Closest atoms and distances in Å follow each position.
Atoms (fractional coordinates):
Pr: 0.0000 0.1473 0.0000  5 Ag 3.08-3.39, 4 Hg 3.21, 2 Pr 3.42
Pr: 0.0000 0.8527 0.0000  5 Ag 3.08-3.39, 4 Hg 3.21, 2 Pr 3.42
Pr: 0.5000 0.3527 0.0000  5 Ag 3.08-3.39, 4 Hg 3.21, 2 Pr 3.42
Pr: 0.5000 0.6473 0.0000  5 Ag 3.08-3.39, 4 Hg 3.21, 2 Pr 3.42
Ag: 0.0000 0.0000 0.0000  2 Pr 3.08, 10 Ag 3.23-3.42
Ag: 0.0000 0.4346 0.5000  1 Ag 2.74, 1 Hg 3.01
Ag: 0.0000 0.5654 0.5000  1 Ag 2.74, 1 Hg 3.01
Ag: 0.5000 0.0654 0.5000  1 Ag 2.74, 1 Hg 3.01
Ag: 0.5000 0.5000 0.0000  2 Pr 3.08, 10 Ag 3.23-3.42
Ag: 0.5000 0.9346 0.5000  1 Ag 2.74, 1 Hg 3.01
Hg: 0.0000 0.2905 0.5000  2 Hg 2.92, 1 Ag 3.01, 4 Pr 3.21
Hg: 0.0000 0.7095 0.5000  2 Hg 2.92, 1 Ag 3.01, 4 Pr 3.21
Hg: 0.5000 0.2095 0.5000  2 Hg 2.92, 1 Ag 3.01, 4 Pr 3.21
Hg: 0.5000 0.7905 0.5000  2 Hg 2.92, 1 Ag 3.01, 4 Pr 3.21

MnReAu: relaxed, GGA-PBE.

N(E_F) = 0.855 states/eV per atom
offset from the most stable computed form = 0.000 eV per atom
magnetic moment = 0.00 μB/atom

Lattice parameters (Å, degrees): 2.8255 2.8255 11.1542 90.00 90.00 90.00
Closest atoms and distances in Å follow each position.
Atoms (fractional coordinates):
Mn: 0.0000 0.0000 0.0000  4 Re 2.45
Mn: 0.5000 0.5000 0.5000  4 Re 2.45
Re: 0.0000 0.0000 0.3736  4 Mn 2.45
Re: 0.5000 0.5000 0.8736  4 Mn 2.45
Au: 0.0000 0.0000 0.6785  4 Mn 2.82, 4 Au 2.83, 4 Re 2.95
Au: 0.5000 0.5000 0.1785  4 Mn 2.82, 4 Au 2.83, 4 Re 2.95

Which of these has the highest magnetic moment? Pr2Ag3Hg2

The lowest N(E_F) belongs to which entry? Pr2Ag3Hg2

Among the records above, which one has the lowest magnetic moment? MnReAu

Which value of magnetic moment does entry 2 give? 0.00 μB/atom